## Ho2ZrIn (PBE)

Data for crystalline Ho2ZrIn at its relaxed geometry.

abc: 5.2555 5.2555 5.2555
angles: 60.00 60.00 60.00
Closest atoms and distances in Å follow each position.
Sites, in units of the cell vectors:
Ho1 0.0000 0.0000 0.0000  4 In 3.22, 4 Ho 3.22
Ho2 0.2500 0.2500 0.2500  4 Zr 3.22, 4 Ho 3.22
Zr1 0.5000 0.5000 0.5000  4 In 3.22, 4 Ho 3.22
In1 0.7500 0.7500 0.7500  4 Zr 3.22, 4 Ho 3.22

Excess energy over the best structure of this formula in the dataset ... 158 meV per atom
DFT formation energy ... -4.0 kJ per mole of atoms
Space group ... F-43m
Theoretical density ... 8.670 g cm⁻³
Density of states at the Fermi level ... 8.0 states/eV/cell

## Ho2ZrIn (PBE)

Data for crystalline Ho2ZrIn at its relaxed geometry.

abc: 3.4421 3.4421 9.0128
angles: 90.00 90.00 90.00
Closest atoms and distances in Å follow each position.
Sites, in units of the cell vectors:
Ho1 0.0000 0.0000 0.2455  4 In 3.29, 4 Zr 3.34, 4 Ho 3.44
Ho2 0.0000 0.0000 0.7545  4 In 3.29, 4 Zr 3.34, 4 Ho 3.44
Zr1 0.5000 0.5000 0.5000  8 Ho 3.34, 4 Zr 3.44
In1 0.5000 0.5000 0.0000  8 Ho 3.29, 4 In 3.44

Excess energy over the best structure of this formula in the dataset ... 4 meV per atom
DFT formation energy ... -18.8 kJ per mole of atoms
Space group ... P4/mmm
Theoretical density ... 8.334 g cm⁻³
Density of states at the Fermi level ... 3.9 states/eV/cell

## HoZrIn (PBE)

Data for crystalline HoZrIn at its relaxed geometry.

abc: 6.9727 6.9727 6.9727
angles: 151.71 151.71 40.44
Closest atoms and distances in Å follow each position.
Sites, in units of the cell vectors:
Ho1 0.0000 0.0000 0.0000  4 In 3.29, 4 Zr 3.32, 4 Ho 3.41
Zr1 0.3255 0.3255 0.0000  4 In 3.14, 4 Ho 3.32, 4 Zr 3.41
In1 0.6717 0.6717 0.0000  4 Zr 3.14, 4 Ho 3.29, 4 In 3.41

Excess energy over the best structure of this formula in the dataset ... 66 meV per atom
DFT formation energy ... -22.0 kJ per mole of atoms
Space group ... I4mm
Theoretical density ... 8.105 g cm⁻³
Density of states at the Fermi level ... 2.2 states/eV/cell

## HoZr2In (PBE)

Data for crystalline HoZr2In at its relaxed geometry.

abc: 5.1455 5.1455 5.1455
angles: 60.00 60.00 60.00
Closest atoms and distances in Å follow each position.
Sites, in units of the cell vectors:
Ho1 0.0000 0.0000 0.0000  4 Zr 3.15, 4 In 3.15
Zr1 0.5000 0.5000 0.5000  4 Zr 3.15, 4 In 3.15
Zr2 0.7500 0.7500 0.7500  4 Zr 3.15, 4 Ho 3.15
In1 0.2500 0.2500 0.2500  4 Zr 3.15, 4 Ho 3.15

Excess energy over the best structure of this formula in the dataset ... 163 meV per atom
DFT formation energy ... -4.4 kJ per mole of atoms
Space group ... F-43m
Theoretical density ... 7.967 g cm⁻³
Density of states at the Fermi level ... 7.1 states/eV/cell

## HoZr2In3 (PBE)

Data for crystalline HoZr2In3 at its relaxed geometry.

abc: 3.8453 3.8453 9.5947
angles: 90.00 90.00 90.00
Closest atoms and distances in Å follow each position.
Sites, in units of the cell vectors:
Ho1 0.0000 0.0000 0.0000  8 In 3.23, 2 Zr 3.32
Zr1 0.0000 0.0000 0.3456  1 Zr 2.96, 8 In 3.10-3.14, 1 Ho 3.32
Zr2 0.0000 0.0000 0.6544  1 Zr 2.96, 8 In 3.10-3.14, 1 Ho 3.32
In1 0.5000 0.5000 0.1816  1 In 3.06, 4 Zr 3.14, 4 Ho 3.23
In2 0.5000 0.5000 0.5000  2 In 3.06, 8 Zr 3.10
In3 0.5000 0.5000 0.8184  1 In 3.06, 4 Zr 3.14, 4 Ho 3.23

DFT formation energy ... -28.1 kJ per mole of atoms
Space group ... P4/mmm
Theoretical density ... 8.097 g cm⁻³
Density of states at the Fermi level ... 2.0 states/eV/cell

## Ho2ZrIn (PBE)

Data for crystalline Ho2ZrIn at its relaxed geometry.

abc: 5.3185 5.3185 5.3185
angles: 60.00 60.00 60.00
Closest atoms and distances in Å follow each position.
Sites, in units of the cell vectors:
Ho1 0.2500 0.2500 0.2500  4 In 3.26, 4 Zr 3.26
Ho2 0.7500 0.7500 0.7500  4 Zr 3.26, 4 In 3.26
Zr1 0.0000 0.0000 0.0000  8 Ho 3.26
In1 0.5000 0.5000 0.5000  8 Ho 3.26

Excess energy over the best structure of this formula in the dataset ... 125 meV per atom
DFT formation energy ... -7.2 kJ per mole of atoms
Space group ... Fm-3m
Theoretical density ... 8.365 g cm⁻³
Density of states at the Fermi level ... 3.0 states/eV/cell

## HoZrIn6 (PBE)

Data for crystalline HoZrIn6 at its relaxed geometry.

abc: 4.5643 4.5643 9.1524
angles: 90.00 90.00 90.00
Closest atoms and distances in Å follow each position.
Sites, in units of the cell vectors:
Ho1 0.0000 0.0000 0.0000  12 In 3.23-3.27
Zr1 0.0000 0.0000 0.5000  12 In 3.19-3.23
In1 0.0000 0.5000 0.2557  2 Zr 3.19, 8 In 3.19-3.27, 2 Ho 3.27
In2 0.0000 0.5000 0.7443  8 In 3.19-3.27, 2 Zr 3.19, 2 Ho 3.27
In3 0.5000 0.0000 0.2557  2 Zr 3.19, 8 In 3.19-3.27, 2 Ho 3.27
In4 0.5000 0.0000 0.7443  8 In 3.19-3.27, 2 Zr 3.19, 2 Ho 3.27
In5 0.5000 0.5000 0.0000  4 Ho 3.23, 8 In 3.27
In6 0.5000 0.5000 0.5000  8 In 3.19, 4 Zr 3.23

DFT formation energy ... -27.9 kJ per mole of atoms
Space group ... P4/mmm
Theoretical density ... 8.230 g cm⁻³
Density of states at the Fermi level ... 4.9 states/eV/cell

## HoZrIn (PBE)

Data for crystalline HoZrIn at its relaxed geometry.

abc: 3.2330 4.7673 9.7594
angles: 90.00 90.00 90.00
Closest atoms and distances in Å follow each position.
Sites, in units of the cell vectors:
Ho1 0.0000 0.0000 0.1577  3 Ho 3.08-3.23, 2 Zr 3.10, 4 In 3.27
Ho2 0.0000 0.0000 0.8423  3 Ho 3.08-3.23, 2 Zr 3.10, 4 In 3.27
Zr1 0.0000 0.5000 0.3615  1 Zr 2.70
Zr2 0.0000 0.5000 0.6385  1 Zr 2.70
In1 0.5000 0.0000 0.5000  8 Zr 3.18, 2 In 3.23
In2 0.5000 0.5000 0.0000  2 In 3.23, 8 Ho 3.27

Excess energy over the best structure of this formula in the dataset ... 294 meV per atom
DFT formation energy ... 0.0 kJ per mole of atoms
Space group ... Pmmm
Theoretical density ... 8.191 g cm⁻³
Density of states at the Fermi level ... 5.6 states/eV/cell